Entry 1:
Computed, not measured: a geometry-optimized Be4SbOs structure at the PBE-GGA level of DFT.

Cell and atoms, written as CIF:
```
data_Be4SbOs
_chemical_formula_sum 'Be4 Sb1 Os1'
_cell_length_a 4.561
_cell_length_b 4.561
_cell_length_c 4.561
_cell_angle_alpha 60.00
_cell_angle_beta 60.00
_cell_angle_gamma 60.00
_symmetry_space_group_name_H-M 'P 1'
_symmetry_Int_Tables_number 1
_symmetry_space_group_name_Hall 'P 1'
loop_
_atom_site_label
_atom_site_type_symbol
_atom_site_fract_x
_atom_site_fract_y
_atom_site_fract_z
_atom_site_occupancy
Be1 Be 0.378 0.378 0.378 1
Be2 Be 0.378 0.378 0.867 1
Be3 Be 0.378 0.867 0.378 1
Be4 Be 0.867 0.378 0.378 1
Sb1 Sb 0.000 0.000 0.000 1
Os1 Os 0.750 0.750 0.750 1
```

Values from the calculation:
The raw formation energy comes out at 0.0338 eV/atom. The total energy comes out at -5.01 eV/atom. As for the space group: F-43m (216).

=====

Entry 2:
Computed, not measured: a geometry-optimized SrFe2Se structure at the PBE-GGA level of DFT.

Cell and atoms, written as CIF:
```
data_SrFe2Se
_chemical_formula_sum 'Sr1 Fe2 Se1'
_cell_length_a 4.309
_cell_length_b 4.523
_cell_length_c 4.695
_cell_angle_alpha 90.00
_cell_angle_beta 90.00
_cell_angle_gamma 90.00
_symmetry_space_group_name_H-M 'P 1'
_symmetry_Int_Tables_number 1
_symmetry_space_group_name_Hall 'P 1'
loop_
_atom_site_label
_atom_site_type_symbol
_atom_site_fract_x
_atom_site_fract_y
_atom_site_fract_z
_atom_site_occupancy
Sr1 Sr 0.000 0.000 0.000 1
Fe1 Fe 0.500 0.500 0.236 1
Fe2 Fe 0.500 0.500 0.764 1
Se1 Se 0.000 0.500 0.500 1
```

Values from the calculation:
The raw formation energy comes out at 0.0250 eV/atom. The total energy comes out at -5.50 eV/atom. As for the space group: Pmmm (47).

=====

Entry 3:
Computed, not measured: a geometry-optimized V2TcAu structure at the PBE-GGA level of DFT.

Cell and atoms, written as CIF:
```
data_V2TcAu
_chemical_formula_sum 'V2 Tc1 Au1'
_cell_length_a 3.991
_cell_length_b 3.991
_cell_length_c 3.676
_cell_angle_alpha 90.00
_cell_angle_beta 90.00
_cell_angle_gamma 90.00
_symmetry_space_group_name_H-M 'P 1'
_symmetry_Int_Tables_number 1
_symmetry_space_group_name_Hall 'P 1'
loop_
_atom_site_label
_atom_site_type_symbol
_atom_site_fract_x
_atom_site_fract_y
_atom_site_fract_z
_atom_site_occupancy
V1 V 0.000 0.500 0.000 1
V2 V 0.500 0.000 0.000 1
Tc1 Tc 0.000 0.000 0.500 1
Au1 Au 0.500 0.500 0.500 1
```

Values from the calculation:
The total energy comes out at -7.99 eV/atom. The value obtained for the formation energy is -0.02 eV per atom. As for the space group: P4/mmm (123).

=====

Entry 4:
Computed, not measured: a geometry-optimized CuSnN2F structure at the PBE-GGA level of DFT.

Cell and atoms, written as CIF:
```
data_CuSnN2F
_chemical_formula_sum 'Cu1 Sn1 N2 F1'
_cell_length_a 4.140
_cell_length_b 4.140
_cell_length_c 4.140
_cell_angle_alpha 90.00
_cell_angle_beta 90.00
_cell_angle_gamma 90.00
_symmetry_space_group_name_H-M 'P 1'
_symmetry_Int_Tables_number 1
_symmetry_space_group_name_Hall 'P 1'
loop_
_atom_site_label
_atom_site_type_symbol
_atom_site_fract_x
_atom_site_fract_y
_atom_site_fract_z
_atom_site_occupancy
Cu1 Cu 0.000 0.000 0.000 1
Sn1 Sn 0.500 0.500 0.500 1
N1 N 0.000 0.500 0.500 1
N2 N 0.500 0.000 0.500 1
F1 F 0.500 0.500 0.000 1
```

Values from the calculation:
The calculation puts the distance to the lowest polymorph of the same formula at 0.1136 eV/atom. The raw formation energy comes out at 0.7039 eV/atom. The total energy comes out at -4.62 eV/atom. As for the space group: P4/mmm (123).